Here is crystalline La2TlZnFe at its relaxed geometry from the Alexandria database. Energies are from PBE-GGA.

## Properties
**Energy relative to the elements**: -127 meV per atom
**Magnetization**: 0.005 μB per cell
**DOS(E_F)**: 5.20 states/eV per cell

Cell and atoms, written as CIF:
```
data_La2TlZnFe
_cell_length_a 5.133
_cell_length_b 5.133
_cell_length_c 4.893
_cell_angle_alpha 90.00
_cell_angle_beta 90.00
_cell_angle_gamma 90.00
_symmetry_space_group_name_H-M 'P 4/m m m'
_symmetry_Int_Tables_number 123
_symmetry_space_group_name_Hall '-P 4 2'
loop_
_atom_site_label
_atom_site_type_symbol
_atom_site_fract_x
_atom_site_fract_y
_atom_site_fract_z
_atom_site_occupancy
La1 La 0.000 0.500 0.000 1
Tl1 Tl 0.000 0.000 0.500 1
Zn1 Zn 0.500 0.500 0.500 1
Fe1 Fe 0.500 0.500 0.000 1
```